K2BaGeS4 after structural relaxation. Source: Alexandria via LeMat-Bulk, functional PBE.

Values from the calculation:
Total magnetic moment (μB/f.u.): 0.0
Uncorrected energy (eV per atom): -4.310
Calculated volume (Å³ per cell): 250.3
Fermi-level density of states (states/eV per cell): 0.00

extended XYZ file:
```
8
Lattice="-7.077 -1.004 -3.682 -0.937 -0.740 -6.774 -2.934 -6.040 -1.492" Properties=species:S:1:pos:R:3 pbc="T T T"
K -4.975 -2.568 -7.294
K -5.973 -5.216 -4.655
Ba 0.000 0.000 0.000
Ge -1.936 -3.390 -4.133
S -7.679 -6.052 -7.081
S -3.935 -3.500 -3.106
S -0.976 -1.408 -3.674
S -9.307 -4.610 -10.036
```

NpVOs2 after structural relaxation. Source: Alexandria via LeMat-Bulk, functional PBE.

Values from the calculation:
ΔH_f (0 K) (meV per atom): 109
Total magnetic moment (μB/f.u.): 0.3
Calculated volume (Å³ per cell): 64.1
Fermi-level density of states (states/eV per cell): 7.36

extended XYZ file:
```
4
Lattice="-2.607 2.586 0.318 -0.880 -0.389 -4.057 -2.813 -2.946 0.893" Properties=species:S:1:pos:R:3 pbc="T T T"
Np -3.150 -0.374 -1.423
Os -1.407 -1.473 0.446
Os -0.440 -0.194 -2.029
V -1.303 1.293 0.159
```

CaLa2TeS after structural relaxation. Source: Alexandria via LeMat-Bulk, functional PBE.

Values from the calculation:
Total magnetic moment (μB/f.u.): 0.0
Uncorrected energy (eV per atom): -4.069
Calculated volume (Å³ per cell): 201.7
Fermi-level density of states (states/eV per cell): 7.64

extended XYZ file:
```
5
Lattice="-2.006 -3.552 -4.356 -2.509 -3.572 4.069 -4.773 3.036 -0.277" Properties=species:S:1:pos:R:3 pbc="T T T"
Ca -2.387 1.518 -0.139
Te 0.000 0.000 0.000
S -4.644 -2.044 -0.282
La -1.254 -1.786 2.034
La -1.003 -1.776 -2.178
```